Entry 1:
Compound: ScAl6Ni6
Source: Alexandria via LeMat-Bulk
Functional: GGA-PBE
Structure: relaxed

The total energy comes out at -5.482 eV per atom. The value obtained for the formation energy from the elements is -0.599 eV per atom. As for the volume: 346 Å³/cell.

abc: 4.9227 8.2255 8.5538
angles: 90.00 90.00 90.00
Closest atoms and distances in Å follow each position.
Space group Immm (No. 71)
Unique sites:
Sc  0.0000  0.0000  0.0000 (multiplicity 2)  8 Al 2.77-2.94
Al  0.0000  0.0000  0.3440 (multiplicity 4)  6 Ni 2.53-2.56, 3 Al 2.67-2.81
Al  0.0000  0.3362  0.0000 (multiplicity 4)  6 Ni 2.57-2.60, 1 Al 2.69, 1 Sc 2.77
Al  0.0000  0.5000  0.3148 (multiplicity 4)  6 Ni 2.46-2.50
Ni  0.0000  0.2651  0.5000 (multiplicity 4)  4 Ni 2.47, 6 Al 2.50-2.60
Ni  0.2500  0.2500  0.2500 (multiplicity 8)  6 Al 2.46-2.57, 4 Ni 2.46-2.47



Entry 2:
Compound: Sc4AlNi
Source: Alexandria via LeMat-Bulk
Functional: GGA-PBE
Structure: relaxed

The total energy comes out at -5.428 eV per atom. The value obtained for the formation energy from the elements is 0.381 eV per atom. Its energy above the most stable polymorph in this dataset is 0.7570 eV/atom. As for the volume: 499 Å³/cell.

abc: 7.9318 7.9318 7.9318
angles: 90.00 90.00 90.00
Closest atoms and distances in Å follow each position.
Space group F-43m (No. 216)
Unique sites:
Sc  0.1249  0.1249  0.1249 (multiplicity 16)  6 Sc 2.80-2.81
Al  0.2500  0.2500  0.7500 (multiplicity 4)  12 Sc 3.29, 4 Ni 3.43
Ni  0.0000  0.0000  0.5000 (multiplicity 4)  12 Sc 3.29, 4 Al 3.43



Entry 3:
Compound: Sc2Al3Ni4
Source: Alexandria via LeMat-Bulk
Functional: GGA-PBE
Structure: relaxed

The total energy comes out at -5.819 eV per atom. The value obtained for the formation energy from the elements is -0.595 eV per atom. As for the volume: 528 Å³/cell.

abc: 5.2867 14.8534 6.7232
angles: 90.00 90.00 90.00
Closest atoms and distances in Å follow each position.
Space group Cmce (No. 64)
Unique sites:
Sc  0.0000  0.1017  0.0890 (multiplicity 8)  5 Ni 2.67-2.86, 2 Al 2.94
Al  0.0000  0.0000  0.5000 (multiplicity 4)  6 Ni 2.39-2.49
Al  0.2500  0.2371  0.7500 (multiplicity 8)  5 Ni 2.46-2.49, 2 Al 2.64
Ni  0.0000  0.1676  0.4834 (multiplicity 8)  5 Al 2.46-2.49, 2 Ni 2.64
Ni  0.2500  0.0716  0.7500 (multiplicity 8)  3 Al 2.39-2.46, 4 Ni 2.64, 2 Sc 2.67